Compound: NpCO4
Source: Alexandria
Functional: PBE-GGA
Structure: relaxed

The structure in POSCAR format:
```
NpCO4
1.0
-3.3036 -0.4480 -5.9263
1.6369 -6.5866 -0.4146
-6.7827 -1.9328 3.9271
O C Np
16 4 4
Direct
0.4369 0.2296 0.1508
0.9490 0.2530 0.7418
0.0510 0.7470 0.2418
0.7704 0.4369 0.4008
0.8020 0.1271 0.2914
0.4994 0.7613 0.2862
0.5631 0.7704 0.6508
0.7613 0.5006 0.0362
0.1980 0.8729 0.7914
0.2530 0.0510 0.4918
0.5006 0.2387 0.7862
0.7470 0.9490 0.9918
0.2296 0.5631 0.9008
0.8729 0.8020 0.5414
0.1271 0.1980 0.0414
0.2387 0.4994 0.5362
0.7822 0.2579 0.3993
0.2178 0.7421 0.8993
0.2579 0.2178 0.1493
0.7421 0.7822 0.6493
0.2271 0.2486 0.7384
0.7729 0.7514 0.2384
0.2486 0.7729 0.4884
0.7514 0.2271 0.9884
```

**Uncorrected formation energy**: -1844 meV/atom
**Total magnetization**: 12.00 μB per cell
**Fermi-level density of states**: 0.705 states/eV per atom